A plane-wave DFT calculation with GGA-PBE was carried out for a relaxed AcLa2TbPr6 crystal.

Output
The calculation puts the density of states at the Fermi level at 31.5 states/eV/cell. As for the total energy: -4.62 eV per atom. The formation energy from the elements is 109 meV/atom.

```
AcLa2TbPr6
1.0
4.7181 -7.8677 0.0000
4.7181 7.8677 0.0000
-1.2661 0.0000 10.0053
Ac La Tb Pr
2 4 2 12
Direct
0.0184 0.9816 0.7500
0.9816 0.0184 0.2500
0.1974 0.3078 0.5435
0.3078 0.1974 0.0435
0.6922 0.8026 0.9565
0.8026 0.6922 0.4565
0.4079 0.5921 0.2500
0.5921 0.4079 0.7500
0.0163 0.5677 0.6894
0.1248 0.7426 0.0537
0.2574 0.8752 0.4463
0.2944 0.5008 0.8818
0.4323 0.9837 0.8106
0.4992 0.7056 0.6182
0.5008 0.2944 0.3818
0.5677 0.0163 0.1894
0.7056 0.4992 0.1182
0.7426 0.1248 0.5537
0.8752 0.2574 0.9463
0.9837 0.4323 0.3106
```

***

A plane-wave DFT calculation with GGA-PBE was carried out for a relaxed Rb4Pu3SbSe8 crystal.

Output
The formation energy without anion corrections is -1.25 eV/atom. The calculation puts the density of states at the Fermi level at 32.7 states/eV/cell. As for the total energy: -6.18 eV per atom.

```
Rb4Pu3SbSe8
1.0
4.3230 2.4959 7.9371
-4.3230 2.4959 7.9371
0.0000 -4.9918 7.9371
Rb Pu Sb Se
4 3 1 8
Direct
0.0000 0.0000 0.0000
0.0000 0.5000 0.5000
0.5000 0.0000 0.5000
0.5000 0.5000 0.0000
0.0000 0.0000 0.5000
0.0000 0.5000 0.0000
0.5000 0.0000 0.0000
0.5000 0.5000 0.5000
0.2313 0.2313 0.2313
0.2320 0.7314 0.7314
0.2686 0.2686 0.7680
0.2686 0.7680 0.2686
0.7314 0.2320 0.7314
0.7314 0.7314 0.2320
0.7680 0.2686 0.2686
0.7687 0.7687 0.7687
```

***

A plane-wave DFT calculation with GGA-PBE was carried out for a relaxed BaLi11 crystal.

Output
The calculation puts the density of states at the Fermi level at 13.8 states/eV/cell. As for the total energy: -1.89 eV per atom. The formation energy from the elements is 21 meV/atom.

```
BaLi11
1.0
-6.0339 6.0339 4.0485
6.0339 -6.0339 4.0485
6.0339 6.0339 -4.0485
Ba Li
2 22
Direct
0.3750 0.6250 0.7500
0.6250 0.3750 0.2500
0.0000 0.0000 0.0000
0.0000 0.0000 0.5000
0.0000 0.5000 0.0000
0.1250 0.8750 0.2500
0.1437 0.5627 0.3304
0.1437 0.8133 0.5811
0.1867 0.2677 0.3304
0.1867 0.8563 0.9189
0.2677 0.1867 0.8304
0.2677 0.4373 0.0811
0.4373 0.2677 0.5811
0.4373 0.8563 0.1696
0.5000 0.0000 0.5000
0.5627 0.1437 0.8304
0.5627 0.7323 0.4189
0.7323 0.5627 0.9189
0.7323 0.8133 0.1696
0.8133 0.1437 0.0811
0.8133 0.7323 0.6696
0.8563 0.1867 0.4189
0.8563 0.4373 0.6696
0.8750 0.1250 0.7500
```

***

A plane-wave DFT calculation with GGA-PBE was carried out for a relaxed PaCu2Pt7 crystal.

Output
The calculation puts the density of states at the Fermi level at 7.3 states/eV/cell. As for the total energy: -6.06 eV per atom. The formation energy from the elements is -60 meV/atom.

```
PaCu2Pt7
1.0
3.6210 -6.1583 0.0000
3.6210 6.1583 0.0000
0.0000 0.0000 4.5215
Pa Cu Pt
1 2 7
Direct
0.0000 0.0000 0.0000
0.2979 0.7021 0.5000
0.7021 0.2979 0.5000
0.0748 0.3012 0.5000
0.2093 0.7907 0.0000
0.3012 0.0748 0.5000
0.5000 0.5000 0.5000
0.6988 0.9252 0.5000
0.7907 0.2093 0.0000
0.9252 0.6988 0.5000
```

***

A plane-wave DFT calculation with GGA-PBE was carried out for a relaxed LaTa2Pt crystal.

Output
The calculation puts the density of states at the Fermi level at 17.2 states/eV/cell. As for the total energy: -8.55 eV per atom. The formation energy from the elements is 123 meV/atom. Its energy above the most stable polymorph in this dataset is 285 meV/atom.

```
LaTa2Pt
1.0
3.1904 0.0000 0.0000
-1.5952 2.7629 0.0000
0.0000 0.0000 29.0275
La Ta Pt
3 6 3
Direct
0.0000 0.0000 0.0000
0.3333 0.6667 0.6667
0.6667 0.3333 0.3333
0.0000 0.0000 0.5074
0.0000 0.0000 0.7641
0.3333 0.6667 0.1741
0.3333 0.6667 0.4308
0.6667 0.3333 0.0975
0.6667 0.3333 0.8407
0.0000 0.0000 0.2405
0.3333 0.6667 0.9071
0.6667 0.3333 0.5738
```

***

A plane-wave DFT calculation with GGA-PBE was carried out for a relaxed TiSb crystal.

Output
The formation energy without anion corrections is -0.42 eV/atom. The calculation puts the density of states at the Fermi level at 3.8 states/eV/cell. As for the total energy: -6.42 eV per atom.

```
TiSb
1.0
3.9719 0.0000 0.0000
-1.9859 3.4397 0.0000
0.0000 0.0000 12.7744
Ti Sb
4 4
Direct
0.3333 0.6667 0.1187
0.3333 0.6667 0.3813
0.6667 0.3333 0.6187
0.6667 0.3333 0.8813
0.0000 0.0000 0.0000
0.0000 0.0000 0.5000
0.3333 0.6667 0.7500
0.6667 0.3333 0.2500
```

***

A plane-wave DFT calculation with GGA-PBE was carried out for a relaxed Ho5BiTe4 crystal.

Output
The formation energy without anion corrections is -1.17 eV/atom. The calculation puts the density of states at the Fermi level at 4.8 states/eV/cell. As for the total energy: -5.11 eV per atom. Its energy above the most stable polymorph in this dataset is 0 meV/atom.

```
Ho5BiTe4
1.0
-2.1875 3.0762 10.8830
2.1875 -3.0762 10.8830
2.1875 3.0762 -10.8830
Ho Bi Te
5 1 4
Direct
0.0000 0.0000 0.0000
0.1998 0.1998 0.0000
0.3989 0.3989 0.0000
0.6011 0.6011 0.0000
0.8002 0.8002 0.0000
0.5000 0.0000 0.5000
0.1003 0.6003 0.5000
0.2991 0.7991 0.5000
0.7009 0.2009 0.5000
0.8997 0.3997 0.5000
```

***

A plane-wave DFT calculation with GGA-PBE was carried out for a relaxed Rb2Pa3Se8 crystal.

Output
The formation energy without anion corrections is -1.39 eV/atom. The calculation puts the density of states at the Fermi level at 8.9 states/eV/cell. As for the total energy: -5.87 eV per atom. Its energy above the most stable polymorph in this dataset is 0 meV/atom.

```
Rb2Pa3Se8
1.0
8.3272 -4.2633 0.0000
8.3272 4.2633 0.0000
-2.2407 0.0000 6.9508
Rb Pa Se
2 3 8
Direct
0.2325 0.2325 0.1642
0.7675 0.7675 0.8358
0.2433 0.7567 0.5000
0.5000 0.5000 0.0000
0.7567 0.2433 0.5000
0.1025 0.1025 0.4575
0.1786 0.6323 0.1148
0.3677 0.8214 0.8852
0.4053 0.4053 0.6007
0.5947 0.5947 0.3993
0.6323 0.1786 0.1148
0.8214 0.3677 0.8852
0.8975 0.8975 0.5425
```

***

A plane-wave DFT calculation with GGA-PBE was carried out for a relaxed NaNd2H crystal.

Output
The calculation puts the density of states at the Fermi level at 9.6 states/eV/cell. As for the total energy: -3.58 eV per atom.

```
NaNd2H
1.0
3.6290 0.0000 0.0000
-1.8145 3.1428 0.0000
0.0000 0.0000 29.8170
Na Nd H
3 6 3
Direct
0.0000 0.0000 0.0000
0.3333 0.6667 0.6667
0.6667 0.3333 0.3333
0.0000 0.0000 0.1190
0.0000 0.0000 0.8810
0.3333 0.6667 0.5477
0.3333 0.6667 0.7856
0.6667 0.3333 0.2144
0.6667 0.3333 0.4523
0.0000 0.0000 0.5000
0.3333 0.6667 0.1667
0.6667 0.3333 0.8333
```

***

A plane-wave DFT calculation with GGA-PBE was carried out for a relaxed Tb5Ru4 crystal.

Output
The calculation puts the density of states at the Fermi level at 10.1 states/eV/cell. As for the total energy: -6.96 eV per atom. The formation energy from the elements is -262 meV/atom.

```
Tb5Ru4
1.0
5.2143 -2.1760 0.0000
5.2143 2.1760 0.0000
-3.4366 0.0000 9.0734
Tb Ru
5 4
Direct
0.0000 0.0000 0.0000
0.1116 0.1116 0.3948
0.2444 0.2444 0.8255
0.7556 0.7556 0.1745
0.8884 0.8884 0.6052
0.3984 0.3984 0.3861
0.4509 0.4509 0.1519
0.5491 0.5491 0.8481
0.6016 0.6016 0.6139
```

***

A plane-wave DFT calculation with GGA-PBE was carried out for a relaxed K2LiZrTe4 crystal.

Output
The formation energy without anion corrections is -0.87 eV/atom. The calculation puts the density of states at the Fermi level at 6.1 states/eV/cell. As for the total energy: -4.02 eV per atom.

```
K2LiZrTe4
1.0
7.5279 0.0000 0.0000
0.0000 4.2325 0.0000
-2.4208 0.0000 8.2824
K Li Zr Te
2 1 1 4
Direct
0.0000 0.0000 0.0000
0.5000 0.5000 0.0000
0.0000 0.5000 0.5000
0.5000 0.0000 0.5000
0.2416 0.0000 0.6951
0.2778 0.5000 0.3006
0.7222 0.5000 0.6994
0.7584 0.0000 0.3049
```

***

A plane-wave DFT calculation with GGA-PBE was carried out for a relaxed Ho2Ga3Ag5 crystal.

Output
The calculation puts the density of states at the Fermi level at 8.2 states/eV/cell. As for the total energy: -3.50 eV per atom. The formation energy from the elements is -255 meV/atom. Its energy above the most stable polymorph in this dataset is 32 meV/atom.

```
Ho2Ga3Ag5
1.0
-5.7510 6.0812 2.8984
5.7510 -6.0812 2.8984
5.7510 6.0812 -2.8984
Ho Ga Ag
4 6 10
Direct
0.2324 0.1319 0.3643
0.2676 0.6319 0.8995
0.7324 0.3681 0.1005
0.7676 0.8681 0.6357
0.1376 0.8682 0.0057
0.2500 0.7500 0.5000
0.3624 0.3682 0.7306
0.6376 0.6318 0.2694
0.7500 0.2500 0.5000
0.8624 0.1318 0.9943
0.1543 0.3942 0.5485
0.2500 0.2500 0.0000
0.2500 0.5073 0.2573
0.2500 0.9927 0.7427
0.3457 0.8942 0.2399
0.6543 0.1058 0.7601
0.7500 0.0073 0.2573
0.7500 0.4927 0.7427
0.7500 0.7500 0.0000
0.8457 0.6058 0.4515
```